1.
VASP calculation (PBE-GGA) on an optimized crystal structure of Mn6CrH4.

For the theoretical density, the calculation gives 7.364 g/cm3. As for the electronic total energy: -7.0228 eV/atom. The total magnetic moment is 0.3 μB per formula unit.

CIF file:
```
data_Mn6CrH4
_chemical_formula_sum 'Mn12 Cr2 H8'
_cell_length_a 4.838
_cell_length_b 4.838
_cell_length_c 14.050
_cell_angle_alpha 90.00
_cell_angle_beta 90.00
_cell_angle_gamma 148.08
_space_group_name_H-M_alt 'P 1'
_space_group_IT_number 1
_space_group_name_Hall 'P 1'
loop_
_atom_site_label
_atom_site_type_symbol
_atom_site_fract_x
_atom_site_fract_y
_atom_site_fract_z
Mn1 Mn 0.000 0.000 0.000
Mn2 Mn 0.000 0.000 0.500
Mn3 Mn 0.129 0.871 0.750
Mn4 Mn 0.271 0.729 0.087
Mn5 Mn 0.271 0.729 0.413
Mn6 Mn 0.461 0.539 0.649
Mn7 Mn 0.461 0.539 0.851
Mn8 Mn 0.539 0.461 0.149
Mn9 Mn 0.539 0.461 0.351
Mn10 Mn 0.729 0.271 0.587
Mn11 Mn 0.729 0.271 0.913
Mn12 Mn 0.871 0.129 0.250
Cr1 Cr 0.172 0.828 0.250
Cr2 Cr 0.828 0.172 0.750
H1 H 0.099 0.901 0.620
H2 H 0.099 0.901 0.880
H3 H 0.354 0.646 0.540
H4 H 0.354 0.646 0.960
H5 H 0.646 0.354 0.040
H6 H 0.646 0.354 0.460
H7 H 0.901 0.099 0.120
H8 H 0.901 0.099 0.380
```



2.
VASP calculation (PBE-GGA) on an optimized crystal structure of MnCr3H3.

For the theoretical density, the calculation gives 6.916 g/cm3. As for the electronic total energy: -6.8401 eV/atom. The total magnetic moment is 0.0 μB per formula unit.

CIF file:
```
data_MnCr3H3
_chemical_formula_sum 'Mn2 Cr6 H6'
_cell_length_a 5.234
_cell_length_b 5.234
_cell_length_c 3.750
_cell_angle_alpha 90.00
_cell_angle_beta 90.00
_cell_angle_gamma 90.88
_space_group_name_H-M_alt 'P 1'
_space_group_IT_number 1
_space_group_name_Hall 'P 1'
loop_
_atom_site_label
_atom_site_type_symbol
_atom_site_fract_x
_atom_site_fract_y
_atom_site_fract_z
Mn1 Mn 0.122 0.878 0.750
Mn2 Mn 0.878 0.122 0.250
Cr1 Cr 0.112 0.360 0.750
Cr2 Cr 0.360 0.112 0.250
Cr3 Cr 0.372 0.628 0.250
Cr4 Cr 0.628 0.372 0.750
Cr5 Cr 0.640 0.888 0.750
Cr6 Cr 0.888 0.640 0.250
H1 H 0.121 0.375 0.250
H2 H 0.373 0.627 0.750
H3 H 0.375 0.121 0.750
H4 H 0.625 0.879 0.250
H5 H 0.627 0.373 0.250
H6 H 0.879 0.625 0.750
```



3.
VASP calculation (PBE-GGA) on an optimized crystal structure of Mn2Cr5H4.

For the theoretical density, the calculation gives 7.073 g/cm3. As for the electronic total energy: -7.2079 eV/atom. The total magnetic moment is 0.2 μB per formula unit.

CIF file:
```
data_Mn2Cr5H4
_chemical_formula_sum 'Mn2 Cr5 H4'
_cell_length_a 2.593
_cell_length_b 5.881
_cell_length_c 6.359
_cell_angle_alpha 68.63
_cell_angle_beta 89.83
_cell_angle_gamma 77.32
_space_group_name_H-M_alt 'P 1'
_space_group_IT_number 1
_space_group_name_Hall 'P 1'
loop_
_atom_site_label
_atom_site_type_symbol
_atom_site_fract_x
_atom_site_fract_y
_atom_site_fract_z
Mn1 Mn 0.074 0.355 0.207
Mn2 Mn 0.926 0.645 0.793
Cr1 Cr 0.214 0.072 0.646
Cr2 Cr 0.370 0.753 0.086
Cr3 Cr 0.500 0.500 0.500
Cr4 Cr 0.630 0.247 0.914
Cr5 Cr 0.786 0.928 0.354
H1 H 0.218 0.067 0.134
H2 H 0.357 0.784 0.576
H3 H 0.643 0.216 0.424
H4 H 0.782 0.933 0.866
```



4.
VASP calculation (PBE-GGA) on an optimized crystal structure of Mn4Cr3H9.

For the theoretical density, the calculation gives 6.045 g/cm3. As for the electronic total energy: -5.9330 eV/atom. The total magnetic moment is 2.5 μB per formula unit.

CIF file:
```
data_Mn4Cr3H9
_chemical_formula_sum 'Mn4 Cr3 H9'
_cell_length_a 7.201
_cell_length_b 7.201
_cell_length_c 7.201
_cell_angle_alpha 34.29
_cell_angle_beta 34.29
_cell_angle_gamma 34.29
_space_group_name_H-M_alt 'P 1'
_space_group_IT_number 1
_space_group_name_Hall 'P 1'
loop_
_atom_site_label
_atom_site_type_symbol
_atom_site_fract_x
_atom_site_fract_y
_atom_site_fract_z
Mn1 Mn 0.000 0.000 0.000
Mn2 Mn 0.133 0.133 0.133
Mn3 Mn 0.521 0.521 0.521
Mn4 Mn 0.663 0.663 0.663
Cr1 Cr 0.271 0.271 0.271
Cr2 Cr 0.395 0.395 0.395
Cr3 Cr 0.792 0.792 0.792
H1 H 0.099 0.513 0.959
H2 H 0.274 0.818 0.725
H3 H 0.393 0.962 0.830
H4 H 0.513 0.959 0.099
H5 H 0.725 0.274 0.818
H6 H 0.818 0.725 0.274
H7 H 0.830 0.393 0.962
H8 H 0.959 0.099 0.513
H9 H 0.962 0.830 0.393
```



5.
VASP calculation (PBE-GGA) on an optimized crystal structure of MnCr2H2.

For the theoretical density, the calculation gives 6.880 g/cm3. As for the electronic total energy: -6.7955 eV/atom. The total magnetic moment is 0.0 μB per formula unit.

CIF file:
```
data_MnCr2H2
_chemical_formula_sum 'Mn2 Cr4 H4'
_cell_length_a 5.381
_cell_length_b 5.381
_cell_length_c 2.683
_cell_angle_alpha 90.00
_cell_angle_beta 90.00
_cell_angle_gamma 90.00
_space_group_name_H-M_alt 'P 1'
_space_group_IT_number 1
_space_group_name_Hall 'P 1'
loop_
_atom_site_label
_atom_site_type_symbol
_atom_site_fract_x
_atom_site_fract_y
_atom_site_fract_z
Mn1 Mn 0.000 0.000 0.000
Mn2 Mn 0.500 0.500 0.000
Cr1 Cr 0.152 0.348 0.500
Cr2 Cr 0.348 0.848 0.500
Cr3 Cr 0.652 0.152 0.500
Cr4 Cr 0.848 0.652 0.500
H1 H 0.172 0.672 0.000
H2 H 0.328 0.172 0.000
H3 H 0.672 0.828 0.000
H4 H 0.828 0.328 0.000
```



6.
VASP calculation (PBE-GGA) on an optimized crystal structure of Mn4CrH.

For the theoretical density, the calculation gives 7.640 g/cm3. As for the electronic total energy: -7.9904 eV/atom. The total magnetic moment is 0.0 μB per formula unit.

CIF file:
```
data_Mn4CrH
_chemical_formula_sum 'Mn16 Cr4 H4'
_cell_length_a 6.520
_cell_length_b 6.580
_cell_length_c 5.528
_cell_angle_alpha 90.00
_cell_angle_beta 90.00
_cell_angle_gamma 90.00
_space_group_name_H-M_alt 'P 1'
_space_group_IT_number 1
_space_group_name_Hall 'P 1'
loop_
_atom_site_label
_atom_site_type_symbol
_atom_site_fract_x
_atom_site_fract_y
_atom_site_fract_z
Mn1 Mn 0.050 0.051 0.183
Mn2 Mn 0.050 0.449 0.183
Mn3 Mn 0.060 0.250 0.571
Mn4 Mn 0.250 0.578 0.554
Mn5 Mn 0.250 0.922 0.554
Mn6 Mn 0.440 0.250 0.571
Mn7 Mn 0.450 0.051 0.183
Mn8 Mn 0.450 0.449 0.183
Mn9 Mn 0.550 0.551 0.817
Mn10 Mn 0.550 0.949 0.817
Mn11 Mn 0.560 0.750 0.429
Mn12 Mn 0.750 0.078 0.446
Mn13 Mn 0.750 0.422 0.446
Mn14 Mn 0.940 0.750 0.429
Mn15 Mn 0.950 0.551 0.817
Mn16 Mn 0.950 0.949 0.817
Cr1 Cr 0.250 0.250 0.911
Cr2 Cr 0.250 0.750 0.045
Cr3 Cr 0.750 0.250 0.955
Cr4 Cr 0.750 0.750 0.089
H1 H 0.000 0.000 0.500
H2 H 0.000 0.500 0.500
H3 H 0.500 0.000 0.500
H4 H 0.500 0.500 0.500
```



7.
VASP calculation (PBE-GGA) on an optimized crystal structure of Mn2CrH2.

For the theoretical density, the calculation gives 7.115 g/cm3. As for the electronic total energy: -6.7147 eV/atom. The total magnetic moment is 0.0 μB per formula unit.

CIF file:
```
data_Mn2CrH2
_chemical_formula_sum 'Mn4 Cr2 H4'
_cell_length_a 5.375
_cell_length_b 5.375
_cell_length_c 2.648
_cell_angle_alpha 90.00
_cell_angle_beta 90.00
_cell_angle_gamma 90.00
_space_group_name_H-M_alt 'P 1'
_space_group_IT_number 1
_space_group_name_Hall 'P 1'
loop_
_atom_site_label
_atom_site_type_symbol
_atom_site_fract_x
_atom_site_fract_y
_atom_site_fract_z
Mn1 Mn 0.140 0.360 0.000
Mn2 Mn 0.360 0.860 0.000
Mn3 Mn 0.640 0.140 0.000
Mn4 Mn 0.860 0.640 0.000
Cr1 Cr 0.000 0.000 0.500
Cr2 Cr 0.500 0.500 0.500
H1 H 0.181 0.681 0.500
H2 H 0.319 0.181 0.500
H3 H 0.681 0.819 0.500
H4 H 0.819 0.319 0.500
```



8.
VASP calculation (PBE-GGA) on an optimized crystal structure of Mn2CrH3.

For the theoretical density, the calculation gives 6.067 g/cm3. As for the electronic total energy: -6.2433 eV/atom. The total magnetic moment is 4.7 μB per formula unit.

CIF file:
```
data_Mn2CrH3
_chemical_formula_sum 'Mn8 Cr4 H12'
_cell_length_a 7.159
_cell_length_b 2.933
_cell_length_c 8.599
_cell_angle_alpha 90.00
_cell_angle_beta 90.00
_cell_angle_gamma 90.00
_space_group_name_H-M_alt 'P 1'
_space_group_IT_number 1
_space_group_name_Hall 'P 1'
loop_
_atom_site_label
_atom_site_type_symbol
_atom_site_fract_x
_atom_site_fract_y
_atom_site_fract_z
Mn1 Mn 0.124 0.250 0.245
Mn2 Mn 0.152 0.250 0.582
Mn3 Mn 0.348 0.750 0.082
Mn4 Mn 0.376 0.750 0.745
Mn5 Mn 0.624 0.250 0.255
Mn6 Mn 0.652 0.250 0.918
Mn7 Mn 0.848 0.750 0.418
Mn8 Mn 0.876 0.750 0.755
Cr1 Cr 0.094 0.250 0.929
Cr2 Cr 0.406 0.750 0.429
Cr3 Cr 0.594 0.250 0.571
Cr4 Cr 0.906 0.750 0.071
H1 H 0.003 0.250 0.740
H2 H 0.013 0.750 0.579
H3 H 0.231 0.750 0.907
H4 H 0.269 0.250 0.407
H5 H 0.487 0.250 0.079
H6 H 0.497 0.750 0.240
H7 H 0.503 0.250 0.760
H8 H 0.513 0.750 0.921
H9 H 0.731 0.750 0.593
H10 H 0.769 0.250 0.093
H11 H 0.987 0.250 0.421
H12 H 0.997 0.750 0.260
```



9.
VASP calculation (PBE-GGA) on an optimized crystal structure of MnCrH2.

For the theoretical density, the calculation gives 6.957 g/cm3. As for the electronic total energy: -6.3990 eV/atom. The total magnetic moment is 0.1 μB per formula unit.

CIF file:
```
data_MnCrH2
_chemical_formula_sum 'Mn1 Cr1 H2'
_cell_length_a 4.563
_cell_length_b 4.563
_cell_length_c 4.563
_cell_angle_alpha 33.67
_cell_angle_beta 33.67
_cell_angle_gamma 33.67
_space_group_name_H-M_alt 'P 1'
_space_group_IT_number 1
_space_group_name_Hall 'P 1'
loop_
_atom_site_label
_atom_site_type_symbol
_atom_site_fract_x
_atom_site_fract_y
_atom_site_fract_z
Mn1 Mn 0.000 0.000 0.000
Cr1 Cr 0.500 0.500 0.500
H1 H 0.253 0.253 0.253
H2 H 0.747 0.747 0.747
```



10.
VASP calculation (PBE-GGA) on an optimized crystal structure of Mn2CrH2.

For the theoretical density, the calculation gives 6.575 g/cm3. As for the electronic total energy: -6.8695 eV/atom. The total magnetic moment is 2.1 μB per formula unit.

CIF file:
```
data_Mn2CrH2
_chemical_formula_sum 'Mn2 Cr1 H2'
_cell_length_a 5.794
_cell_length_b 5.794
_cell_length_c 5.794
_cell_angle_alpha 152.51
_cell_angle_beta 152.51
_cell_angle_gamma 39.28
_space_group_name_H-M_alt 'P 1'
_space_group_IT_number 1
_space_group_name_Hall 'P 1'
loop_
_atom_site_label
_atom_site_type_symbol
_atom_site_fract_x
_atom_site_fract_y
_atom_site_fract_z
Mn1 Mn 0.146 0.146 0.000
Mn2 Mn 0.854 0.854 0.000
Cr1 Cr 0.500 0.500 0.000
H1 H 0.250 0.750 0.500
H2 H 0.750 0.250 0.500
```